The following is a GGA-PBE calculation of a geometry-optimized TcHg2Se structure, from Alexandria via LeMat-Bulk.

For the magnetization, the calculation gives 1.01 μB/f.u. For the formation energy without anion corrections, the calculation gives 0.635 eV per atom.

Lattice parameters (Å, degrees): 3.1994 3.1994 27.5083 90.00 90.00 120.00
Space group R-3m (No. 166, hexagonal axes)
Asymmetric unit:
Tc  0.0000  0.0000  0.0000
Hg  0.0000  0.0000  0.2539
Se  0.0000  0.0000  0.5000

---

The following is a GGA-PBE calculation of a geometry-optimized TcHg2Se structure, from Alexandria via LeMat-Bulk.

For the magnetization, the calculation gives 0.00 μB/f.u. For the formation energy without anion corrections, the calculation gives 0.320 eV per atom.

Lattice parameters (Å, degrees): 10.687 10.687 4.649 90.00 90.00 90.00
Space group I-42d (No. 122)
Asymmetric unit:
Tc  0.000  0.000  0.000
Hg  0.001  0.250  0.125
Se  0.000  0.000  0.500

---

The following is a GGA-PBE calculation of a geometry-optimized TcHg2Se structure, from Alexandria via LeMat-Bulk.

For the magnetization, the calculation gives 1.86 μB/f.u. For the formation energy without anion corrections, the calculation gives 0.632 eV per atom.

Lattice parameters (Å, degrees): 5.428 9.079 3.308 90.00 90.00 90.00
Space group Cmmm (No. 65)
Asymmetric unit:
Tc  0.000  0.000  0.000
Hg  0.250  0.250  0.500
Se  0.000  0.500  0.000

---

The following is a GGA-PBE calculation of a geometry-optimized TcHgSe2 structure, from Alexandria via LeMat-Bulk.

For the magnetization, the calculation gives 3.18 μB/f.u. For the formation energy without anion corrections, the calculation gives 0.371 eV per atom.

Lattice parameters (Å, degrees): 3.915 3.915 5.694 90.00 90.00 90.00
Space group P4/mmm (No. 123)
Asymmetric unit:
Tc  0.000  0.000  0.000
Hg  0.500  0.500  0.500
Se  0.000  0.000  0.500
Se  0.500  0.500  0.000